(one)
DFT (PBE) results for a relaxed structure of CeEr2Lu.

It has space group P4/mmm (No. 123), with a = 3.482 Å, b = 3.482 Å, c = 9.902 Å, α = 90.00°, β = 90.00° and γ = 90.00°. The inequivalent atoms are Ce at (0.000, 0.000, 0.000), Er at (0.500, 0.500, 0.248) and Lu at (0.000, 0.000, 0.500).

The crystal system is tetragonal.

(two)
DFT (PBE) results for a relaxed structure of CeEr2Lu.

It has space group Fm-3m (No. 225), with a = 7.905 Å, b = 7.905 Å, c = 7.905 Å, α = 90.00°, β = 90.00° and γ = 90.00°. The inequivalent atoms are Ce at (0.000, 0.000, 0.000), Er at (0.250, 0.250, 0.250) and Lu at (0.000, 0.000, 0.500).

The crystal system is cubic.

Last place for stability: (two)

(one)
DFT (PBE) results for a relaxed structure of CeEr2Lu.

It has space group P4/mmm (No. 123), with a = 4.928 Å, b = 4.928 Å, c = 4.951 Å, α = 90.00°, β = 90.00° and γ = 90.00°. The inequivalent atoms are Ce at (0.000, 0.000, 0.000), Er at (0.000, 0.500, 0.500) and Lu at (0.500, 0.500, 0.000).

The crystal system is tetragonal.

(two)
DFT (PBE) results for a relaxed structure of CeEr2Lu.

It has space group R-3m (No. 166, hexagonal axes), with a = 3.4820 Å, b = 3.4820 Å, c = 34.1960 Å, α = 90.00°, β = 90.00° and γ = 120.00°. The inequivalent atoms are Ce at (0.0000, 0.0000, 0.0000), Er at (0.0000, 0.0000, 0.2499) and Lu at (0.0000, 0.0000, 0.5000).

The crystal system is trigonal.

Last place for stability: (one)

(one)
DFT (PBE) results for a relaxed structure of CeErLu2.

It has space group P4/mmm (No. 123), with a = 4.934 Å, b = 4.934 Å, c = 4.890 Å, α = 90.00°, β = 90.00° and γ = 90.00°. The inequivalent atoms are Ce at (0.000, 0.000, 0.000), Er at (0.500, 0.500, 0.000) and Lu at (0.000, 0.500, 0.500).

The crystal system is tetragonal.

(two)
DFT (PBE) results for a relaxed structure of CeErLu2.

It has space group Fm-3m (No. 225), with a = 7.862 Å, b = 7.862 Å, c = 7.862 Å, α = 90.00°, β = 90.00° and γ = 90.00°. The inequivalent atoms are Ce at (0.000, 0.000, 0.000), Er at (0.000, 0.000, 0.500) and Lu at (0.250, 0.250, 0.250).

The crystal system is cubic.

(three)
DFT (PBE) results for a relaxed structure of CeErLu2.

It has space group R-3m (No. 166, hexagonal axes), with a = 3.4712 Å, b = 3.4712 Å, c = 33.9444 Å, α = 90.00°, β = 90.00° and γ = 120.00°. The inequivalent atoms are Ce at (0.0000, 0.0000, 0.0000), Er at (0.0000, 0.0000, 0.5000) and Lu at (0.0000, 0.0000, 0.2504).

The crystal system is trigonal.

Last place for stability: (two)

(one)
DFT (PBE) results for a relaxed structure of CeErLu.

It has space group P3m1 (No. 156), with a = 3.4723 Å, b = 3.4723 Å, c = 8.5087 Å, α = 90.00°, β = 90.00° and γ = 120.00°. The inequivalent atoms are Ce at (0.0000, 0.0000, 0.0000), Er at (0.6667, 0.3333, 0.3339) and Lu at (0.3333, 0.6667, 0.6694).

The crystal system is trigonal.

(two)
DFT (PBE) results for a relaxed structure of CeErLu.

It has space group I4mm (No. 107), with a = 3.480 Å, b = 3.480 Å, c = 14.799 Å, α = 90.00°, β = 90.00° and γ = 90.00°. The inequivalent atoms are Ce at (0.000, 0.000, 0.000), Er at (0.000, 0.000, 0.666) and Lu at (0.000, 0.000, 0.336).

The crystal system is tetragonal.

Last place for stability: (two)

(one)
DFT (PBE) results for a relaxed structure of CeErMg.

It has space group P3m1 (No. 156), with a = 3.3887 Å, b = 3.3887 Å, c = 8.4870 Å, α = 90.00°, β = 90.00° and γ = 120.00°. The inequivalent atoms are Ce at (0.0000, 0.0000, 0.0000), Er at (0.3333, 0.6667, 0.6622) and Mg at (0.6667, 0.3333, 0.3373).

The crystal system is trigonal.

(two)
DFT (PBE) results for a relaxed structure of CeErMg.

It has space group I4mm (No. 107), with a = 3.391 Å, b = 3.391 Å, c = 14.708 Å, α = 90.00°, β = 90.00° and γ = 90.00°. The inequivalent atoms are Ce at (0.000, 0.000, 0.000), Er at (0.000, 0.000, 0.675) and Mg at (0.000, 0.000, 0.334).

The crystal system is tetragonal.

Last place for stability: (one)

(one)
DFT (PBE) results for a relaxed structure of CeErMgTc.

It has space group F-43m (No. 216), with a = 7.124 Å, b = 7.124 Å, c = 7.124 Å, α = 90.00°, β = 90.00° and γ = 90.00°. The inequivalent atoms are Ce at (0.000, 0.000, 0.000), Er at (0.000, 0.000, 0.500), Mg at (0.250, 0.250, 0.250) and Tc at (0.250, 0.250, 0.750).

The crystal system is cubic.

(two)
DFT (PBE) results for a relaxed structure of CeErMgTc.

It has space group P4mm (No. 99), with a = 3.385 Å, b = 3.385 Å, c = 8.515 Å, α = 90.00°, β = 90.00° and γ = 90.00°. The inequivalent atoms are Ce at (0.000, 0.000, 0.000), Er at (0.000, 0.000, 0.396), Mg at (0.500, 0.500, 0.692) and Tc at (0.500, 0.500, 0.190).

The crystal system is tetragonal.

Last place for stability: (one)

(one)
DFT (PBE) results for a relaxed structure of CeEr2N.

It has space group P4/mmm (No. 123), with a = 3.107 Å, b = 3.107 Å, c = 8.646 Å, α = 90.00°, β = 90.00° and γ = 90.00°. The inequivalent atoms are Ce at (0.000, 0.000, 0.000), Er at (0.500, 0.500, 0.338) and N at (0.000, 0.000, 0.500).

The crystal system is tetragonal.

(two)
DFT (PBE) results for a relaxed structure of CeEr2N.

It has space group R-3m (No. 166, hexagonal axes), with a = 3.3492 Å, b = 3.3492 Å, c = 28.3402 Å, α = 90.00°, β = 90.00° and γ = 120.00°. The inequivalent atoms are Ce at (0.0000, 0.0000, 0.0000), Er at (0.0000, 0.0000, 0.1191) and N at (0.0000, 0.0000, 0.5000).

The crystal system is trigonal.

Last place for stability: (one)

(one)
DFT (PBE) results for a relaxed structure of Ce2NdEr.

It has space group P4/mmm (No. 123), with a = 4.921 Å, b = 4.921 Å, c = 5.110 Å, α = 90.00°, β = 90.00° and γ = 90.00°. The inequivalent atoms are Ce at (0.000, 0.500, 0.000), Nd at (0.000, 0.000, 0.500) and Er at (0.500, 0.500, 0.500).

The crystal system is tetragonal.

(two)
DFT (PBE) results for a relaxed structure of Ce2NdEr.

It has space group R3m (No. 160, hexagonal axes), with a = 3.5102 Å, b = 3.5102 Å, c = 34.8223 Å, α = 90.00°, β = 90.00° and γ = 120.00°. The inequivalent atoms are Ce at (0.0000, 0.0000, 0.0000), Ce at (0.0000, 0.0000, 0.1624), Nd at (0.0000, 0.0000, 0.5830) and Er at (0.0000, 0.0000, 0.4141).

The crystal system is trigonal.

Last place for stability: (one)